1.
Material: MgZr3Cd
Method: DFT, PBE
State: optimized geometry

mass density	6.10	g cm⁻³
DOS at the Fermi energy	4.82	states/eV/f.u.
total magnetization	0.00	μB per formula unit
ΔE_f	0.00	eV per atom
uncorrected energy	-5.630	eV per atom
space-group type	P1, No. 1

Cell: 3.189 5.808 6.529 Å, 78.27 75.95 74.33°
Fractional coordinates of all 5 atoms:
Mg1 0.000 0.000 0.000
Zr1 0.199 0.409 0.193
Zr2 0.611 0.199 0.583
Zr3 0.808 0.591 0.792
Cd1 0.406 0.806 0.385


2.
Material: MgZrCd6
Method: DFT, PBE
State: optimized geometry

mass density	7.55	g cm⁻³
DOS at the Fermi energy	4.83	states/eV/f.u.
total magnetization	0.00	μB per formula unit
ΔE_f	-0.07	eV per atom
uncorrected energy	-2.021	eV per atom
space-group type	P4/mmm, No. 123

Cell: 4.478 4.478 8.668 Å, 90.00 90.00 90.00°
Fractional coordinates of all 8 atoms:
Mg1 0.000 0.000 0.000
Zr1 0.000 0.000 0.500
Cd1 0.000 0.500 0.250
Cd2 0.000 0.500 0.750
Cd3 0.500 0.000 0.250
Cd4 0.500 0.000 0.750
Cd5 0.500 0.500 0.000
Cd6 0.500 0.500 0.500


3.
Material: MgZr4Cd
Method: DFT, PBE
State: optimized geometry

mass density	5.94	g cm⁻³
DOS at the Fermi energy	5.38	states/eV/f.u.
total magnetization	0.00	μB per formula unit
ΔE_f	0.25	eV per atom
uncorrected energy	-5.870	eV per atom
space-group type	F-43m, No. 216

Cell: 5.833 5.833 5.833 Å, 60.00 60.00 60.00°
Fractional coordinates of all 6 atoms:
Mg1 0.000 0.000 0.000
Zr1 0.124 0.625 0.625
Zr2 0.625 0.124 0.625
Zr3 0.625 0.625 0.124
Zr4 0.625 0.625 0.625
Cd1 0.250 0.250 0.250


4.
Material: Mg2ZrCd2
Method: DFT, PBE
State: optimized geometry

mass density	5.73	g cm⁻³
DOS at the Fermi energy	2.69	states/eV/f.u.
total magnetization	0.00	μB per formula unit
ΔE_f	0.00	eV per atom
uncorrected energy	-2.710	eV per atom
space-group type	P4/mbm, No. 127

Cell: 8.411 8.411 2.989 Å, 90.00 90.00 90.00°
Fractional coordinates of all 10 atoms:
Mg1 0.126 0.374 0.000
Mg2 0.374 0.874 0.000
Mg3 0.626 0.126 0.000
Mg4 0.874 0.626 0.000
Zr1 0.000 0.000 0.000
Zr2 0.500 0.500 0.000
Cd1 0.174 0.674 0.500
Cd2 0.326 0.174 0.500
Cd3 0.674 0.826 0.500
Cd4 0.826 0.326 0.500


5.
Material: MgZr2Cd12
Method: DFT, PBE
State: optimized geometry

mass density	7.51	g cm⁻³
DOS at the Fermi energy	8.31	states/eV/f.u.
total magnetization	0.00	μB per formula unit
ΔE_f	0.00	eV per atom
uncorrected energy	-1.975	eV per atom
space-group type	Cmme, No. 67

Cell: 5.781 5.781 22.724 Å, 90.00 90.00 115.05°
Fractional coordinates of all 30 atoms:
Mg1 0.250 0.750 0.000
Mg2 0.750 0.250 0.000
Zr1 0.250 0.750 0.252
Zr2 0.250 0.750 0.748
Zr3 0.750 0.250 0.252
Zr4 0.750 0.250 0.748
Cd1 0.000 0.000 0.068
Cd2 0.000 0.000 0.932
Cd3 0.000 0.500 0.121
Cd4 0.000 0.500 0.384
Cd5 0.000 0.500 0.616
Cd6 0.000 0.500 0.879
Cd7 0.001 0.999 0.563
Cd8 0.250 0.250 0.189
Cd9 0.250 0.250 0.313
Cd10 0.250 0.250 0.687
Cd11 0.250 0.250 0.811
Cd12 0.499 0.501 0.563
Cd13 0.500 0.000 0.121
Cd14 0.500 0.000 0.384
Cd15 0.500 0.000 0.616
Cd16 0.500 0.000 0.879
Cd17 0.500 0.500 0.068
Cd18 0.500 0.500 0.932
Cd19 0.501 0.499 0.437
Cd20 0.750 0.750 0.189
Cd21 0.750 0.750 0.313
Cd22 0.750 0.750 0.687
Cd23 0.750 0.750 0.811
Cd24 0.999 0.001 0.437


6.
Material: MgZr3Cd2
Method: DFT, PBE
State: optimized geometry

mass density	6.58	g cm⁻³
DOS at the Fermi energy	6.13	states/eV/f.u.
total magnetization	1.68	μB per formula unit
ΔE_f	0.13	eV per atom
uncorrected energy	-4.717	eV per atom
space-group type	Fmmm, No. 69

Cell: 10.425 9.668 5.695 Å, 81.00 66.35 32.65°
Fractional coordinates of all 12 atoms:
Mg1 0.187 0.187 0.813
Mg2 0.813 0.813 0.187
Zr1 0.147 0.682 0.318
Zr2 0.318 0.853 0.147
Zr3 0.346 0.346 0.654
Zr4 0.654 0.654 0.346
Zr5 0.682 0.147 0.853
Zr6 0.853 0.318 0.682
Cd1 0.250 0.250 0.250
Cd2 0.259 0.741 0.741
Cd3 0.741 0.259 0.259
Cd4 0.750 0.750 0.750